w:
# PBE InAgI3, optimized geometry
data_InAgI3
_space_group_name_H-M_alt 'P 1'
_space_group_IT_number 1
_cell_length_a 11.651
_cell_length_b 11.651
_cell_length_c 7.908
_cell_angle_alpha 90.00
_cell_angle_beta 90.00
_cell_angle_gamma 157.81
loop_
_space_group_symop_operation_xyz
'x,y,z'
loop_
_atom_site_label
_atom_site_type_symbol
_atom_site_fract_x
_atom_site_fract_y
_atom_site_fract_z
_atom_site_occupancy
In1 In 0.172 0.828 0.500 1
In2 In 0.828 0.172 0.000 1
Ag1 Ag 0.398 0.602 0.496 1
Ag2 Ag 0.602 0.398 0.996 1
I1 I 0.083 0.917 0.796 1
I2 I 0.254 0.746 0.184 1
I3 I 0.411 0.589 0.840 1
I4 I 0.589 0.411 0.340 1
I5 I 0.746 0.254 0.684 1
I6 I 0.917 0.083 0.296 1
# * space-group type: Cmc2_1 (36)
# * M_tot: 0.00 μB per cell

x:
# PBE InAgI3, optimized geometry
data_InAgI3
_space_group_name_H-M_alt 'P 1'
_space_group_IT_number 1
_cell_length_a 5.753
_cell_length_b 5.753
_cell_length_c 5.753
_cell_angle_alpha 90.00
_cell_angle_beta 90.00
_cell_angle_gamma 90.00
loop_
_space_group_symop_operation_xyz
'x,y,z'
loop_
_atom_site_label
_atom_site_type_symbol
_atom_site_fract_x
_atom_site_fract_y
_atom_site_fract_z
_atom_site_occupancy
In1 In 0.000 0.000 0.000 1
Ag1 Ag 0.500 0.500 0.500 1
I1 I 0.000 0.500 0.500 1
I2 I 0.500 0.000 0.500 1
I3 I 0.500 0.500 0.000 1
# * space-group type: Pm-3m (221)
# * M_tot: 0.00 μB per cell

Quick one: most stable of them? w

w:
# PBE In2AgI3, optimized geometry
data_In2AgI3
_space_group_name_H-M_alt 'P 1'
_space_group_IT_number 1
_cell_length_a 10.404
_cell_length_b 10.404
_cell_length_c 10.404
_cell_angle_alpha 152.93
_cell_angle_beta 39.10
_cell_angle_gamma 152.33
loop_
_space_group_symop_operation_xyz
'x,y,z'
loop_
_atom_site_label
_atom_site_type_symbol
_atom_site_fract_x
_atom_site_fract_y
_atom_site_fract_z
_atom_site_occupancy
In1 In 0.166 0.000 0.166 1
In2 In 0.834 0.000 0.834 1
Ag1 Ag 0.678 0.178 0.500 1
I1 I 0.345 0.986 0.359 1
I2 I 0.627 0.986 0.641 1
I3 I 0.996 0.996 0.000 1
# * space-group type: Imm2 (44)
# * M_tot: 0.00 μB per cell

x:
# PBE In2AgI3, optimized geometry
data_In2AgI3
_space_group_name_H-M_alt 'P 1'
_space_group_IT_number 1
_cell_length_a 9.949
_cell_length_b 4.731
_cell_length_c 19.735
_cell_angle_alpha 90.00
_cell_angle_beta 90.00
_cell_angle_gamma 90.00
loop_
_space_group_symop_operation_xyz
'x,y,z'
loop_
_atom_site_label
_atom_site_type_symbol
_atom_site_fract_x
_atom_site_fract_y
_atom_site_fract_z
_atom_site_occupancy
In1 In 0.071 0.250 0.220 1
In2 In 0.246 0.250 0.971 1
In3 In 0.254 0.750 0.471 1
In4 In 0.429 0.750 0.720 1
In5 In 0.571 0.250 0.280 1
In6 In 0.746 0.250 0.529 1
In7 In 0.754 0.750 0.029 1
In8 In 0.929 0.750 0.780 1
Ag1 Ag 0.132 0.250 0.639 1
Ag2 Ag 0.368 0.750 0.139 1
Ag3 Ag 0.632 0.250 0.861 1
Ag4 Ag 0.868 0.750 0.361 1
I1 I 0.008 0.250 0.402 1
I2 I 0.110 0.750 0.073 1
I3 I 0.195 0.250 0.779 1
I4 I 0.305 0.750 0.279 1
I5 I 0.390 0.250 0.573 1
I6 I 0.492 0.750 0.902 1
I7 I 0.508 0.250 0.098 1
I8 I 0.610 0.750 0.427 1
I9 I 0.695 0.250 0.721 1
I10 I 0.805 0.750 0.221 1
I11 I 0.890 0.250 0.927 1
I12 I 0.992 0.750 0.598 1
# * space-group type: Pnma (62)
# * M_tot: 0.00 μB per cell

Quick one: most stable of them? x